1.
DFT (PBE-GGA) results for a geometry-optimized Ac4CuRuBr2 structure.

a = 4.3809 Å, b = 7.5597 Å, c = 8.6621 Å
α = 107.04°, β = 90.00°, γ = 90.00°
Closest atoms and distances in Å follow each position.
Fractional coordinates of all 8 atoms:
Cu1 0.0000 0.0000 0.0000  6 Ac 3.04-3.06
Ac1 0.5000 0.7551 0.8047  1 Ru 2.91, 2 Cu 3.04
Ac2 0.5000 0.2449 0.1953  1 Ru 2.91, 2 Cu 3.04
Ac3 0.0000 0.2764 0.8037  2 Ru 2.98, 1 Cu 3.06
Ac4 0.0000 0.7236 0.1963  2 Ru 2.98, 1 Cu 3.06
Br1 0.0000 0.5000 0.5000  6 Ac 3.52-3.54
Br2 0.5000 0.0000 0.5000  6 Ac 3.59-3.64
Ru1 0.5000 0.5000 0.0000  6 Ac 2.91-2.98

Properties
As for the uncorrected formation energy: -811 meV per atom. The total magnetization comes out at 0.000 μB/cell. The calculation puts the density at 7461 kg/m³.

2.
DFT (PBE-GGA) results for a geometry-optimized KH2S4 structure.

a = 9.6060 Å, b = 8.6674 Å, c = 10.7412 Å
α = 116.13°, β = 74.12°, γ = 152.16°
Closest atoms and distances in Å follow each position.
Fractional coordinates of all 14 atoms:
S1 0.0335 0.6172 0.8261  1 H 1.38
S2 0.2381 0.9853 0.7690  1 S 2.10
S3 0.5940 0.8349 0.6847  1 H 1.37
S4 0.2190 0.6047 0.1394  1 H 1.37
S5 0.4951 0.7381 0.2341  1 S 2.10
S6 0.9028 0.8533 0.3154  1 H 1.37
S7 0.3370 0.3588 0.6479  2 S 2.09
S8 0.2254 0.0744 0.4292  2 S 2.07-2.09
H1 0.9487 0.3170 0.1704  1 S 1.37
H2 0.7314 0.3581 0.7978  1 S 1.38
H3 0.8700 0.0406 0.6769  1 S 1.37
H4 0.6428 0.5437 0.3368  1 S 1.37
K1 0.1352 0.5566 0.4751  1 H 2.98, 3 S 3.10-3.20
K2 0.8770 0.8674 0.9971  2 H 2.90-2.95, 1 S 3.22

Properties
For the total energy, the calculation gives -3.780 eV/atom. The total magnetization comes out at 0.000 μB/cell. The calculation puts the density at 1561 kg/m³.

3.
DFT (PBE-GGA) results for a geometry-optimized Sm6SiNi2 structure.

a = 8.4723 Å, b = 8.4723 Å, c = 8.4723 Å
α = 106.58°, β = 108.26°, γ = 113.66°
Closest atoms and distances in Å follow each position.
Fractional coordinates of all 18 atoms:
Ni1 0.5000 0.3787 0.8787  1 Ni 2.46
Ni2 0.3513 0.0000 0.3513  8 Sm 2.84-3.14, 1 Ni 2.95
Ni3 0.5000 0.6213 0.1213  1 Ni 2.46
Ni4 0.6487 0.0000 0.6487  8 Sm 2.84-3.14, 1 Ni 2.95
Sm1 0.4624 0.2841 0.1783  3 Ni 2.94-3.14, 1 Si 3.17
Sm2 0.3069 0.9785 0.6717  3 Ni 2.76-2.90
Sm3 0.6931 0.3648 0.6717  3 Ni 2.76-2.90
Sm4 0.8078 0.7670 0.5747  1 Ni 2.84, 1 Si 3.04
Sm5 0.1922 0.2330 0.4253  1 Ni 2.84, 1 Si 3.04
Sm6 0.6931 0.0215 0.3283  3 Ni 2.76-2.90
Sm7 0.1058 0.2841 0.8217  3 Ni 2.94-3.14, 1 Si 3.17
Sm8 0.8078 0.2330 0.0408  1 Ni 2.84, 1 Si 3.04
Sm9 0.3069 0.6352 0.3283  3 Ni 2.76-2.90
Sm10 0.1922 0.7670 0.9592  1 Ni 2.84, 1 Si 3.04
Sm11 0.8942 0.7159 0.1783  3 Ni 2.94-3.14, 1 Si 3.17
Sm12 0.5376 0.7159 0.8217  3 Ni 2.94-3.14, 1 Si 3.17
Si1 0.0000 0.0000 0.0000  8 Sm 3.04-3.17
Si2 0.0000 0.5000 0.5000  8 Sm 3.31-3.33

Properties
As for the uncorrected formation energy: -290 meV per atom. The total magnetization comes out at 0.000 μB/cell. The calculation puts the density at 7464 kg/m³.

4.
DFT (PBE-GGA) results for a geometry-optimized Tb2PmPr6Sm3 structure.

a = 6.3587 Å, b = 6.3587 Å, c = 12.0774 Å
α = 95.04°, β = 95.04°, γ = 120.01°
Closest atoms and distances in Å follow each position.
Fractional coordinates of all 12 atoms:
Pr1 0.7497 0.7497 0.2490  2 Tb 3.64, 1 Pm 3.64, 3 Sm 3.66, 6 Pr 3.67-3.68
Pr2 0.0835 0.4174 0.2490  2 Tb 3.64, 1 Pm 3.64, 3 Sm 3.66, 6 Pr 3.67-3.68
Pr3 0.5826 0.9165 0.7510  2 Tb 3.64, 1 Pm 3.64, 3 Sm 3.66, 6 Pr 3.67-3.68
Pr4 0.9165 0.5826 0.7510  2 Tb 3.64, 1 Pm 3.64, 3 Sm 3.66, 6 Pr 3.67-3.68
Pr5 0.4174 0.0835 0.2490  2 Tb 3.64, 1 Pm 3.64, 3 Sm 3.66, 6 Pr 3.67-3.68
Pr6 0.2503 0.2503 0.7510  2 Tb 3.64, 1 Pm 3.64, 3 Sm 3.66, 6 Pr 3.67-3.68
Sm1 0.8332 0.1668 0.5000  6 Pr 3.66, 6 Sm 3.67
Sm2 0.5000 0.5000 0.5000  6 Pr 3.66, 6 Sm 3.67
Sm3 0.1668 0.8332 0.5000  6 Pr 3.66, 6 Sm 3.67
Tb1 0.3335 0.6665 0.0000  6 Pr 3.64, 3 Tb 3.67, 3 Pm 3.67
Tb2 0.6665 0.3335 0.0000  6 Pr 3.64, 3 Tb 3.67, 3 Pm 3.67
Pm1 0.0000 0.0000 0.0000  6 Pr 3.64, 6 Tb 3.67

Properties
The calculation puts the formation energy at 0.01 eV/atom. The total magnetization comes out at 0.000 μB/cell. The calculation puts the density at 7018 kg/m³.

5.
DFT (PBE-GGA) results for a geometry-optimized CaTl2Os structure.

a = 5.6930 Å, b = 5.6930 Å, c = 5.6930 Å
α = 137.91°, β = 131.88°, γ = 65.81°
Closest atoms and distances in Å follow each position.
Fractional coordinates of all 4 atoms:
Tl1 0.0220 0.0220 0.0000  2 Os 2.90, 4 Ca 3.11, 2 Tl 3.22
Tl2 0.7550 0.2550 0.5000  4 Os 3.10, 4 Ca 3.21-3.28, 4 Tl 3.22-3.27
Os1 0.2367 0.7367 0.5000  6 Tl 2.90-3.10, 2 Ca 3.14
Ca1 0.4863 0.4863 0.0000  8 Tl 3.11-3.28, 4 Os 3.14-3.33

Properties
The calculation puts the formation energy at 0.52 eV/atom. The total magnetization comes out at 0.000 μB/cell. The calculation puts the density at 11699 kg/m³.

6.
DFT (PBE-GGA) results for a geometry-optimized MgSi2Os structure.

a = 4.7607 Å, b = 4.7607 Å, c = 4.7607 Å
α = 133.12°, β = 133.12°, γ = 68.46°
Closest atoms and distances in Å follow each position.
Fractional coordinates of all 4 atoms:
Os1 0.7500 0.2500 0.5000  8 Si 2.68-2.73, 4 Mg 2.73
Si1 0.0000 0.0000 0.0000  4 Mg 2.68, 4 Si 2.73, 4 Os 2.73
Si2 0.2500 0.7500 0.5000  4 Os 2.68, 4 Mg 2.73, 4 Si 2.73
Mg1 0.5000 0.5000 0.0000  8 Si 2.68-2.73, 4 Os 2.73

Properties
As for the uncorrected formation energy: 126 meV per atom. The total magnetization comes out at 0.000 μB/cell. The calculation puts the density at 7962 kg/m³.